(1)
Compound: Mg2InSN
Source: Alexandria
Functional: PBE
Structure: optimized geometry

Unit cell a=4.1987 b=5.1604 c=4.1987 alpha=90.00 beta=90.00 gamma=90.00
Last column: nearest neighbours and their distance in Å.
Sites, in units of the cell vectors:
S: 0.0000 0.5000 0.0000  2 N 2.58
In: 0.5000 0.5000 0.5000  4 S 2.97
Mg: 0.5000 0.0000 0.0000  2 N 2.10
Mg: 0.0000 0.0000 0.5000  2 N 2.10
N: 0.0000 0.0000 0.0000  4 Mg 2.10

Output
Formation energy from raw total energies = -81 meV/atom
SG = No. 123


(2)
Compound: LiIn3Au3
Source: Alexandria
Functional: PBE
Structure: optimized geometry

Unit cell a=5.7553 b=6.0976 c=5.7553 alpha=110.68 beta=108.24 gamma=110.68
Last column: nearest neighbours and their distance in Å.
Sites, in units of the cell vectors:
In: 0.5001 0.5037 0.5001  6 Au 2.88-3.05
In: 0.4999 0.0036 0.0000  6 Au 2.88-3.05
In: 0.0000 0.0036 0.4999  6 Au 2.88-3.05
Au: 0.5000 0.0037 0.5000  2 Li 2.88, 6 In 2.88-3.05
Au: 0.0000 0.5037 0.5000  2 Li 2.88, 6 In 2.88-3.05
Au: 0.5000 0.5037 0.0000  2 Li 2.88, 6 In 2.88-3.05
Li: 0.0000 0.5029 0.0000  6 Au 2.88

Output
DFT formation energy = -1.60 eV per formula unit
Offset from the most stable computed form = 25 meV per atom
SG = No. 166


(3)
Compound: Mg3Zn2Pd3
Source: Alexandria
Functional: PBE
Structure: optimized geometry

Unit cell a=3.5973 b=4.1421 c=8.9260 alpha=103.42 beta=101.63 gamma=90.00
Last column: nearest neighbours and their distance in Å.
Sites, in units of the cell vectors:
Zn: 0.7493 0.2493 0.4985  4 Pd 2.68-2.88, 4 Zn 2.74, 4 Mg 2.80-2.97
Zn: 0.2507 0.7507 0.5015  4 Pd 2.68-2.88, 4 Zn 2.74, 4 Mg 2.80-2.97
Pd: 0.1327 0.1327 0.2654  4 Zn 2.68-2.88, 6 Mg 2.75-2.88
Pd: 0.0000 0.5000 0.0000  8 Mg 2.74-2.77, 4 Pd 3.06
Pd: 0.8673 0.8673 0.7346  4 Zn 2.68-2.88, 6 Mg 2.75-2.88
Mg: 0.5000 0.0000 0.0000  8 Pd 2.74-2.88, 4 Mg 2.96
Mg: 0.6241 0.6241 0.2483  6 Pd 2.75-2.77, 4 Zn 2.80-2.97, 2 Mg 2.96
Mg: 0.3759 0.3759 0.7517  6 Pd 2.75-2.77, 4 Zn 2.80-2.97, 2 Mg 2.96

Output
DFT formation energy = -4.61 eV per formula unit
Offset from the most stable computed form = 0 meV per atom
SG = No. 71


(4)
Compound: ZnCo2PdN
Source: Alexandria
Functional: PBE
Structure: optimized geometry

Unit cell a=3.6962 b=3.6962 c=4.2980 alpha=90.00 beta=90.00 gamma=90.00
Last column: nearest neighbours and their distance in Å.
Sites, in units of the cell vectors:
Co: 0.0000 0.5000 0.0000  2 N 1.85
Co: 0.5000 0.0000 0.0000  2 N 1.85
N: 0.0000 0.0000 0.0000  4 Co 1.85
Pd: 0.0000 0.0000 0.5000  2 N 2.15
Zn: 0.5000 0.5000 0.5000  4 Pd 2.61, 8 Co 2.83

Output
Formation energy from raw total energies = -25 meV/atom
Offset from the most stable computed form = 0 meV per atom
SG = No. 123


(5)
Compound: Ce4PmTh3S8
Source: Alexandria
Functional: PBE
Structure: optimized geometry

Unit cell a=8.0623 b=8.0628 c=8.0638 alpha=120.02 beta=119.99 gamma=90.00
Last column: nearest neighbours and their distance in Å.
Sites, in units of the cell vectors:
S: 0.2497 0.7512 0.4993  3 Ce 2.84-2.85, 1 Pm 2.85, 2 Th 2.86
S: 0.7503 0.2488 0.5007  3 Ce 2.84-2.85, 1 Pm 2.85, 2 Th 2.86
S: 0.7503 0.2488 0.9985  3 Ce 2.84-2.85, 1 Pm 2.85, 2 Th 2.86
S: 0.2497 0.7512 0.0015  3 Ce 2.84-2.85, 1 Pm 2.85, 2 Th 2.86
S: 0.7509 0.7527 0.5018  3 Ce 2.84, 3 Th 2.86
S: 0.2481 0.2488 0.9985  3 Ce 2.84-2.85, 1 Pm 2.85, 2 Th 2.86
S: 0.2491 0.2473 0.4982  3 Ce 2.84, 3 Th 2.86
S: 0.7519 0.7512 0.0015  3 Ce 2.84-2.85, 1 Pm 2.85, 2 Th 2.86
Th: 0.5000 0.5000 0.0000  6 S 2.86
Th: 0.0000 0.5000 0.5000  6 S 2.86
Th: 0.5000 0.5000 0.5000  6 S 2.86
Pm: 0.0000 0.5000 0.0000  6 S 2.85
Ce: 0.0000 0.0000 0.5000  6 S 2.84
Ce: 0.0000 0.0000 0.0000  6 S 2.84
Ce: 0.5000 0.0000 0.5000  6 S 2.84
Ce: 0.5000 0.0000 0.0000  6 S 2.85

Output
Formation energy from raw total energies = -1973 meV/atom
SG = No. 166


(6)
Compound: Tb7TmSc2
Source: Alexandria
Functional: PBE
Structure: optimized geometry

Unit cell a=5.5215 b=8.7519 c=8.7519 alpha=119.61 beta=90.00 gamma=90.00
Last column: nearest neighbours and their distance in Å.
Sites, in units of the cell vectors:
Tm: 0.0000 0.0000 0.0000  10 Tb 3.64-3.67
Tb: 0.5000 0.9376 0.6989  2 Sc 3.09, 2 Tb 3.20-3.33
Tb: 0.5000 0.5000 0.5000  2 Sc 3.11, 4 Tb 3.33
Tb: 0.5000 0.0624 0.3011  2 Sc 3.09, 2 Tb 3.20-3.33
Tb: 0.0000 0.2405 0.7595  2 Sc 2.88
Tb: 0.5000 0.3011 0.0624  2 Sc 3.09, 2 Tb 3.20-3.33
Tb: 0.0000 0.7595 0.2405  2 Sc 2.88
Tb: 0.5000 0.6989 0.9376  2 Sc 3.09, 2 Tb 3.20-3.33
Sc: 0.5000 0.2944 0.7056  7 Tb 2.88-3.11
Sc: 0.5000 0.7056 0.2944  7 Tb 2.88-3.11

Output
DFT formation energy = 6.49 eV per formula unit
SG = No. 65


no.,raw total energy (eV per atom)
1,-3.757
2,-3.080
3,-3.440
4,-5.826
5,-7.209
6,-4.306